(1)
DFT (PBE) results for an optimized crystal structure of Cs8RbPt2.

- ρ (g/cm³) = 3.17
- density of states at the Fermi level (states/eV/atom) = 0.70
- E_form (eV/atom) = -0.01

Cell lengths 10.441, 9.431, 9.431 Å; angles 119.87, 90.02, 90.02 degrees
Atoms (fractional coordinates):
Cs 0.355 0.997 0.580
Cs 0.355 0.580 0.997
Cs 0.643 0.698 0.698
Cs 0.908 0.328 0.663
Cs 0.908 0.663 0.328
Cs 0.355 0.416 0.416
Cs 0.641 0.295 0.997
Cs 0.641 0.997 0.295
Rb 0.071 0.998 0.998
Pt 0.561 0.664 0.330
Pt 0.561 0.330 0.664


(2)
DFT (PBE) results for an optimized crystal structure of Cs2RbPt.

- polymorph energy (0 for the lowest one) (meV per atom) = 0.0
- ρ (g/cm³) = 3.68
- density of states at the Fermi level (states/eV/atom) = 0.40
- E_form (eV/atom) = 0.04

Cell lengths 5.591, 5.591, 9.666 Å; angles 73.19, 73.19, 60.00 degrees
Atoms (fractional coordinates):
Cs 0.043 0.043 0.872
Cs 0.285 0.285 0.146
Rb 0.523 0.523 0.430
Pt 0.650 0.650 0.051


(3)
DFT (PBE) results for an optimized crystal structure of Cs5RbPt.

- ρ (g/cm³) = 2.61
- density of states at the Fermi level (states/eV/atom) = 0.89
- E_form (eV/atom) = -0.01

Cell lengths 10.232, 10.232, 14.381 Å; angles 90.41, 111.34, 118.58 degrees
Atoms (fractional coordinates):
Cs 0.707 0.927 0.077
Cs 0.199 0.917 0.570
Cs 0.649 0.370 0.577
Cs 0.253 0.003 0.250
Cs 0.847 0.629 0.930
Cs 0.153 0.371 0.070
Cs 0.747 0.997 0.750
Cs 0.351 0.630 0.423
Cs 0.801 0.083 0.430
Cs 0.293 0.073 0.923
Rb 0.748 0.498 0.250
Rb 0.252 0.502 0.750
Pt 0.000 0.000 0.000
Pt 0.500 0.000 0.500


(4)
DFT (PBE) results for an optimized crystal structure of Cs7Rb12Pt.

- ρ (g/cm³) = 1.98
- density of states at the Fermi level (states/eV/atom) = 0.83
- E_form (eV/atom) = 0.04

Cell lengths 8.952, 15.562, 15.562 Å; angles 116.41, 101.06, 101.06 degrees
Atoms (fractional coordinates):
Cs 0.091 0.791 0.000
Cs 0.910 0.000 0.209
Cs 0.701 0.791 0.791
Cs 0.500 0.000 0.000
Cs 0.299 0.209 0.209
Cs 0.090 0.000 0.791
Cs 0.909 0.209 0.000
Rb 0.091 0.591 0.182
Rb 0.091 0.182 0.591
Rb 0.523 0.643 0.000
Rb 0.478 0.000 0.357
Rb 0.500 0.409 0.591
Rb 0.120 0.643 0.643
Rb 0.880 0.357 0.357
Rb 0.500 0.591 0.409
Rb 0.522 0.000 0.643
Rb 0.477 0.357 0.000
Rb 0.909 0.818 0.409
Rb 0.909 0.409 0.818
Pt 0.000 0.000 0.000